# BaPr2Ag3

BaPr2Ag3 after structural relaxation (PBE-GGA, Alexandria).

Geometry as CIF:
```
data_BaPr2Ag3
_space_group_name_H-M_alt 'P 4/m m m'
_space_group_IT_number 123
_space_group_name_Hall '-P 4 2'
_cell_length_a 3.885
_cell_length_b 3.885
_cell_length_c 11.694
_cell_angle_alpha 90.00
_cell_angle_beta 90.00
_cell_angle_gamma 90.00
loop_
_atom_site_label
_atom_site_fract_x
_atom_site_fract_y
_atom_site_fract_z
_atom_site_occupancy
Ba1 0.000 0.000 0.000 1
Pr1 0.000 0.000 0.340 1
Ag1 0.500 0.500 0.200 1
Ag2 0.500 0.500 0.500 1
```

## Properties
Energy relative to the elements ... -5.2 kcal/mol of atoms
Volume ... 176.5 Å³/cell
Final energy ... -21.39 eV for the cell shown